Entry 1:
Density functional theory data (GGA-PBE) for an optimized crystal structure of Ac2NiSn4Rh3.

```
10
Lattice="-1.283 -2.397 3.804 -2.396 -2.982 -2.688 8.538 -6.031 -0.919" Properties=species:S:1:pos:R:3 pbc="T T T"
Ac 1.558 -2.752 1.665
Ac 5.140 -5.968 -2.026
Ni 2.429 -5.705 0.099
Sn -1.840 -2.689 0.558
Sn 0.000 0.000 0.000
Sn 4.624 -4.918 1.335
Sn 2.074 -3.802 -1.696
Rh 4.269 -3.015 -0.459
Rh 6.782 -6.442 1.103
Rh -0.084 -2.278 -1.464
```

Values from the calculation:
symmetry = P-4m2, No. 115
V = 22.9 Å³ per atom
E_tot = -5.885 eV per atom
total magnetization = 0.00 μB/atom

***

Entry 2:
Density functional theory data (GGA-PBE) for an optimized crystal structure of Ac2Ni4Sn3Rh.

```
10
Lattice="-0.349 4.074 1.694 -2.856 1.086 -3.202 -8.049 -3.220 6.086" Properties=species:S:1:pos:R:3 pbc="T T T"
Ac -2.229 1.215 2.400
Ac -7.423 -1.855 2.931
Ni -1.602 2.580 -0.754
Ni 0.000 0.000 0.000
Ni -5.257 0.004 4.690
Ni -4.394 -0.643 0.642
Sn -4.024 -1.610 3.043
Sn -7.247 -0.792 6.194
Sn -2.404 0.153 -0.863
Rh -5.627 0.970 2.289
```

Values from the calculation:
symmetry = P-4m2, No. 115
V = 20.7 Å³ per atom
E_tot = -5.509 eV per atom
total magnetization = 0.00 μB/atom

***

Entry 3:
Density functional theory data (GGA-PBE) for an optimized crystal structure of SrAcNiRh.

```
4
Lattice="-1.820 0.521 4.820 -5.033 -0.749 0.962 -1.535 -4.173 2.653" Properties=species:S:1:pos:R:3 pbc="T T T"
Sr -4.194 -2.201 4.217
Ac 0.000 0.000 0.000
Rh -2.097 -1.100 2.109
Ni -6.291 -3.301 6.326
```

Values from the calculation:
symmetry = F-43m, No. 216
V = 24.5 Å³ per atom
E_tot = -4.905 eV per atom
total magnetization = 0.00 μB/atom